Entry P
A relaxed structure of BaCaZn2. Source: Alexandria, functional PBE.

Unit cell a=4.505 b=6.702 c=8.567 alpha=90.00 beta=90.00 gamma=90.00
Fractional coordinates of all 8 atoms:
Zn 0.500 0.192 0.983
Ba 0.000 0.122 0.672
Zn 0.500 0.808 0.483
Ba 0.000 0.878 0.172
Zn 0.000 0.376 0.032
Ca 0.500 0.389 0.313
Ca 0.500 0.611 0.813
Zn 0.000 0.624 0.532

---

Entry Q
A relaxed structure of BaCaZn2. Source: Alexandria, functional PBE.

Unit cell a=3.779 b=3.779 c=8.640 alpha=90.00 beta=90.00 gamma=90.00
Fractional coordinates of all 4 atoms:
Zn 0.500 0.500 0.187
Ca 0.500 0.500 0.836
Zn 0.000 0.000 0.041
Ba 0.000 0.000 0.437

---

Entry R
A relaxed structure of BaCaZn2. Source: Alexandria, functional PBE.

Unit cell a=5.371 b=5.371 c=11.046 alpha=75.93 beta=75.93 gamma=90.00
Fractional coordinates of all 8 atoms:
Ca 0.500 0.500 0.000
Zn 0.375 0.125 0.250
Ca 0.250 0.750 0.500
Ba 0.000 0.000 0.000
Ba 0.750 0.250 0.500
Zn 0.875 0.625 0.750
Zn 0.375 0.625 0.250
Zn 0.375 0.625 0.750

---

Entry S
A relaxed structure of BaCaZn2. Source: Alexandria, functional PBE.

Unit cell a=5.327 b=5.327 c=5.327 alpha=60.00 beta=60.00 gamma=60.00
Fractional coordinates of all 4 atoms:
Zn 0.000 0.000 0.000
Ca 0.750 0.750 0.750
Ba 0.500 0.500 0.500
Zn 0.250 0.250 0.250

---

Most stable: entry P. Least stable: entry R.

---

Entry P
A relaxed structure of BaCaZn2. Source: Alexandria, functional PBE.

Unit cell a=8.010 b=8.010 c=8.010 alpha=33.11 beta=33.11 gamma=33.11
Fractional coordinates of all 4 atoms:
Zn 0.298 0.298 0.298
Ca 0.706 0.706 0.706
Ba 0.531 0.531 0.531
Zn 0.965 0.965 0.965

---

Entry Q
A relaxed structure of BaCaZn2. Source: Alexandria, functional PBE.

Unit cell a=3.969 b=3.858 c=8.607 alpha=63.34 beta=90.00 gamma=90.00
Fractional coordinates of all 4 atoms:
Ba 0.500 0.250 0.250
Zn 0.000 0.045 0.955
Zn 0.000 0.455 0.545
Ca 0.500 0.750 0.750

---

Most stable: entry Q. Least stable: entry P.

---

Entry P
A relaxed structure of BaCaZn. Source: Alexandria, functional PBE.

Unit cell a=7.527 b=7.527 c=3.956 alpha=74.76 beta=74.76 gamma=30.48
Fractional coordinates of all 3 atoms:
Ca 0.292 0.292 0.708
Ba 0.027 0.027 0.973
Zn 0.680 0.680 0.320

---

Entry Q
A relaxed structure of BaCaZn. Source: Alexandria, functional PBE.

Unit cell a=5.631 b=5.631 c=5.631 alpha=60.00 beta=60.00 gamma=60.00
Fractional coordinates of all 3 atoms:
Ba 0.750 0.750 0.750
Zn 0.500 0.500 0.500
Ca 0.000 0.000 0.000

---

Most stable: entry P. Least stable: entry Q.

---

Entry P
A relaxed structure of Ba2CaZn2. Source: Alexandria, functional PBE.

Unit cell a=9.147 b=9.147 c=4.461 alpha=90.00 beta=90.00 gamma=90.00
Fractional coordinates of all 10 atoms:
Ba 0.156 0.656 0.500
Ca 0.500 0.500 0.000
Zn 0.862 0.638 0.000
Ba 0.656 0.844 0.500
Ca 0.000 0.000 0.000
Ba 0.844 0.344 0.500
Zn 0.638 0.138 0.000
Zn 0.362 0.862 0.000
Zn 0.138 0.362 0.000
Ba 0.344 0.156 0.500

---

Entry Q
A relaxed structure of Ba2CaZn2. Source: Alexandria, functional PBE.

Unit cell a=6.512 b=6.512 c=6.479 alpha=59.83 beta=59.83 gamma=90.00
Fractional coordinates of all 5 atoms:
Ca 0.000 0.000 0.000
Ba 0.750 0.250 0.500
Zn 0.366 0.366 0.269
Zn 0.634 0.634 0.731
Ba 0.250 0.750 0.500

---

Entry R
A relaxed structure of Ba2CaZn2. Source: Alexandria, functional PBE.

Unit cell a=4.104 b=4.104 c=12.217 alpha=80.33 beta=80.33 gamma=90.00
Fractional coordinates of all 5 atoms:
Zn 0.750 0.250 0.500
Zn 0.250 0.750 0.500
Ba 0.366 0.366 0.269
Ba 0.634 0.634 0.731
Ca 0.000 0.000 0.000

---

Entry S
A relaxed structure of Ba2CaZn2. Source: Alexandria, functional PBE.

Unit cell a=9.634 b=9.634 c=3.834 alpha=90.00 beta=90.00 gamma=90.00
Fractional coordinates of all 10 atoms:
Ba 0.862 0.638 0.000
Zn 0.157 0.657 0.500
Zn 0.657 0.843 0.500
Ba 0.638 0.138 0.000
Ca 0.000 0.000 0.000
Zn 0.343 0.157 0.500
Zn 0.843 0.343 0.500
Ba 0.138 0.362 0.000
Ca 0.500 0.500 0.000
Ba 0.362 0.862 0.000

---

Most stable: entry P. Least stable: entry R.

---

Entry P
A relaxed structure of BaCaZn3. Source: Alexandria, functional PBE.

Unit cell a=5.582 b=5.582 c=5.582 alpha=90.00 beta=90.00 gamma=90.00
Fractional coordinates of all 5 atoms:
Zn 0.000 0.000 0.500
Zn 0.000 0.500 0.000
Ca 0.000 0.000 0.000
Zn 0.500 0.000 0.000
Ba 0.500 0.500 0.500

---

Entry Q
A relaxed structure of BaCaZn3. Source: Alexandria, functional PBE.

Unit cell a=4.590 b=4.282 c=14.382 alpha=98.56 beta=90.00 gamma=90.00
Fractional coordinates of all 10 atoms:
Zn 0.250 0.374 0.747
Zn 0.250 0.476 0.952
Ca 0.750 0.208 0.417
Zn 0.750 0.524 0.048
Ca 0.250 0.792 0.583
Ba 0.750 0.925 0.850
Zn 0.750 0.324 0.648
Ba 0.250 0.075 0.150
Zn 0.750 0.626 0.253
Zn 0.250 0.676 0.352

---

Most stable: entry Q. Least stable: entry P.

---

Entry P
A relaxed structure of Ba4CaZn. Source: Alexandria, functional PBE.

Unit cell a=4.231 b=4.231 c=16.810 alpha=90.01 beta=90.01 gamma=90.00
Fractional coordinates of all 6 atoms:
Ba 0.000 0.000 0.676
Ba 0.500 0.500 0.886
Zn 0.000 0.000 0.000
Ca 0.500 0.500 0.500
Ba 0.000 0.000 0.324
Ba 0.500 0.500 0.114

---

Entry Q
A relaxed structure of Ba4CaZn. Source: Alexandria, functional PBE.

Unit cell a=7.726 b=7.726 c=7.726 alpha=60.00 beta=60.00 gamma=60.00
Fractional coordinates of all 6 atoms:
Ca 0.750 0.750 0.750
Zn 0.000 0.000 0.000
Ba 0.375 0.375 0.876
Ba 0.375 0.375 0.375
Ba 0.876 0.375 0.375
Ba 0.375 0.876 0.375

---

Most stable: entry P. Least stable: entry Q.

---

Entry P
A relaxed structure of BaCaZr. Source: Alexandria, functional PBE.

Unit cell a=5.504 b=5.504 c=5.504 alpha=60.00 beta=60.00 gamma=60.00
Fractional coordinates of all 3 atoms:
Zr 0.500 0.500 0.500
Ca 0.000 0.000 0.000
Ba 0.750 0.750 0.750

---

Entry Q
A relaxed structure of BaCaZr. Source: Alexandria, functional PBE.

Unit cell a=5.821 b=5.821 c=5.821 alpha=60.00 beta=60.00 gamma=60.00
Fractional coordinates of all 3 atoms:
Zr 0.750 0.750 0.750
Ba 0.000 0.000 0.000
Ca 0.500 0.500 0.500

---

Most stable: entry Q. Least stable: entry P.

---

Entry P
A relaxed structure of BaCaZr. Source: Alexandria, functional PBE.

Unit cell a=9.223 b=3.698 c=9.623 alpha=100.83 beta=46.82 gamma=89.85
Fractional coordinates of all 6 atoms:
Zr 0.487 0.320 0.550
Ca 0.191 0.270 0.448
Zr 0.603 0.660 0.230
Ba 0.971 0.674 0.256
Ca 0.038 0.979 0.861
Ba 0.585 0.919 0.861

---

Entry Q
A relaxed structure of BaCaZr. Source: Alexandria, functional PBE.

Unit cell a=6.002 b=6.002 c=3.339 alpha=90.00 beta=90.00 gamma=120.00
Fractional coordinates of all 3 atoms:
Ba 0.000 0.000 0.167
Ca 0.667 0.333 0.166
Zr 0.333 0.667 0.667

---

Most stable: entry P. Least stable: entry Q.

---

Entry P
A relaxed structure of BaCaZr. Source: Alexandria, functional PBE.

Unit cell a=3.637 b=6.631 c=10.252 alpha=99.64 beta=101.85 gamma=103.58
Fractional coordinates of all 6 atoms:
Ca 0.360 0.068 0.240
Ba 0.260 0.624 0.443
Ca 0.629 0.965 0.819
Zr 0.061 0.135 0.555
Zr 0.831 0.453 0.720
Ba 0.532 0.514 0.034

---

Entry Q
A relaxed structure of BaCaZr. Source: Alexandria, functional PBE.

Unit cell a=10.283 b=3.578 c=6.400 alpha=75.12 beta=79.55 gamma=81.04
Fractional coordinates of all 6 atoms:
Ba 0.875 0.509 0.609
Ca 0.408 0.624 0.084
Zr 0.284 0.930 0.573
Ba 0.089 0.307 0.070
Ca 0.697 0.953 0.143
Zr 0.523 0.298 0.601

---

Most stable: entry P. Least stable: entry Q.

---

Entry P
A relaxed structure of BaCaZr. Source: Alexandria, functional PBE.

Unit cell a=3.668 b=3.668 c=9.203 alpha=90.00 beta=90.00 gamma=120.00
Fractional coordinates of all 3 atoms:
Zr 0.667 0.333 0.658
Ca 0.333 0.667 0.367
Ba 0.000 0.000 0.975

---

Entry Q
A relaxed structure of BaCaZr. Source: Alexandria, functional PBE.

Unit cell a=6.550 b=6.550 c=6.550 alpha=148.27 beta=132.01 gamma=58.68
Fractional coordinates of all 3 atoms:
Zr 0.675 0.675 0.000
Ba 0.005 0.005 0.000
Ca 0.320 0.320 0.000

---

Entry R
A relaxed structure of BaCaZr. Source: Alexandria, functional PBE.

Unit cell a=5.252 b=5.252 c=11.422 alpha=90.00 beta=90.00 gamma=120.00
Fractional coordinates of all 6 atoms:
Zr 0.000 0.000 0.500
Zr 0.000 0.000 0.000
Ba 0.000 0.000 0.750
Ca 0.333 0.667 0.250
Ca 0.667 0.333 0.750
Ba 0.000 0.000 0.250

---

Most stable: entry P. Least stable: entry R.

---

Entry P
A relaxed structure of BaCaZr. Source: Alexandria, functional PBE.

Unit cell a=8.361 b=7.116 c=6.135 alpha=90.01 beta=68.50 gamma=47.91
Fractional coordinates of all 6 atoms:
Ca 0.154 0.898 0.964
Ca 0.616 0.952 0.733
Ba 0.889 0.569 0.096
Zr 0.216 0.126 0.433
Zr 0.800 0.303 0.641
Ba 0.405 0.474 0.338

---

Entry Q
A relaxed structure of BaCaZr. Source: Alexandria, functional PBE.

Unit cell a=10.375 b=7.395 c=5.990 alpha=90.00 beta=90.00 gamma=90.00
Fractional coordinates of all 12 atoms:
Zr 0.333 0.250 0.000
Ba 0.000 0.000 0.000
Ca 0.166 0.250 0.500
Zr 0.667 0.750 0.000
Ba 0.500 0.500 0.500
Ca 0.334 0.750 0.000
Ba 0.500 0.000 0.500
Zr 0.833 0.250 0.500
Ba 0.000 0.500 0.000
Ca 0.666 0.250 0.000
Ca 0.834 0.750 0.500
Zr 0.167 0.750 0.500

---

Most stable: entry P. Least stable: entry Q.